[1]
Material: Ru3Pt4
Method: DFT, PBE
State: relaxed

POSCAR file:
```
Ru3Pt4
1.0
5.813 -6.099 5.175
1.446 -7.420 6.373
-3.654 5.219 -7.561
Ru Pt
3 4
Cartesian
2.049 -3.816 3.260
5.209 -9.702 8.288
0.000 0.000 0.000
1.045 -1.946 1.662
4.139 -7.709 6.585
6.213 -11.572 9.885
3.119 -5.809 4.962
```

## Properties
Energy of formation from the pure elements = 0.18 eV/atom
Energy = -7.25 eV per atom
Symmetry = I4/mmm
Energy relative to the lowest polymorph listed for this composition = 0.00 eV per formula unit
Spin magnetization = 1.98 Bohr magnetons per cell



[2]
Material: Ac2TmLu
Method: DFT, PBE
State: relaxed

POSCAR file:
```
Ac2TmLu
1.0
3.665 0.000 0.000
1.833 3.174 0.000
1.833 1.058 12.996
Tm Lu Ac
1 1 2
Cartesian
3.665 2.116 6.498
0.000 0.000 0.000
5.498 3.174 3.461
1.833 1.058 9.535
```

## Properties
Energy of formation from the pure elements = 0.29 eV/atom
Energy = -4.02 eV per atom
Symmetry = R-3m
Energy relative to the lowest polymorph listed for this composition = 0.90 eV per formula unit
Spin magnetization = 0.00 Bohr magnetons per cell



[3]
Material: InHgW2
Method: DFT, PBE
State: relaxed

POSCAR file:
```
InHgW2
1.0
7.601 0.000 0.000
0.000 7.601 0.000
3.801 3.801 2.780
W In Hg
4 2 2
Cartesian
1.893 5.701 0.695
5.708 1.900 0.695
5.701 5.694 2.085
9.502 9.509 2.085
3.801 7.601 1.390
3.801 3.801 0.000
0.000 0.000 0.000
7.601 3.801 1.390
```

## Properties
Energy of formation from the pure elements = 1.39 eV/atom
Energy = -5.84 eV per atom
Symmetry = I-42d
Energy relative to the lowest polymorph listed for this composition = 3.59 eV per formula unit
Spin magnetization = 0.00 Bohr magnetons per cell



[4]
Material: Cr3N
Method: DFT, PBE
State: relaxed

POSCAR file:
```
Cr3N
1.0
2.644 0.000 0.000
0.000 5.584 0.146
0.000 -1.439 5.397
Cr N
6 2
Cartesian
0.661 2.148 1.101
0.661 4.756 0.765
1.983 0.449 2.371
0.661 3.696 3.172
1.983 -0.611 4.778
1.983 1.997 4.442
0.661 0.594 3.877
1.983 3.551 1.666
```

## Properties
Formation energy from raw total energies = -0.2 eV per formula unit
Energy = -9.34 eV per atom
Symmetry = Cmcm
Spin magnetization = 0.00 Bohr magnetons per cell